# 1
The following is a GGA-PBEsol calculation of a relaxed Co2As crystal, from Alexandria.

Lattice parameters (Å, degrees): 3.655 5.356 6.955 90.00 90.00 90.00
Last column: magnetic moment on the atom in μB.
Fractional coordinates of all 12 atoms:
As  0.750  0.767  0.115  -0.01
As  0.250  0.733  0.615  -0.01
As  0.750  0.267  0.385  -0.01
As  0.250  0.233  0.885  -0.01
Co  0.750  0.462  0.691  0.27
Co  0.250  0.038  0.191  0.27
Co  0.750  0.962  0.809  0.27
Co  0.250  0.538  0.309  0.27
Co  0.750  0.347  0.066  0.12
Co  0.250  0.153  0.566  0.12
Co  0.750  0.847  0.434  0.12
Co  0.250  0.653  0.934  0.12

* SG: Pnma, No. 62
* formation enthalpy at 0 K: -0.21 eV/atom


# 2
The following is a GGA-PBEsol calculation of a relaxed LiP2 crystal, from Alexandria.

Lattice parameters (Å, degrees): 3.918 3.918 3.918 60.00 60.00 60.00
Fractional coordinates of all 3 atoms:
P  0.750  0.750  0.750
P  0.250  0.250  0.250
Li  0.000  0.000  0.000

* polymorph energy (0 for the lowest one): 0.423 eV per atom
* SG: Fm-3m, No. 225
* formation enthalpy at 0 K: 0.09 eV/atom


# 3
The following is a GGA-PBEsol calculation of a relaxed LaSbAs2 crystal, from Alexandria.

Lattice parameters (Å, degrees): 4.096 4.362 6.036 91.63 109.83 90.00
Fractional coordinates of all 4 atoms:
Sb  0.754  0.910  0.508
As  0.981  0.871  0.962
As  0.241  0.345  0.481
La  0.525  0.374  0.049

* SG: Cm, No. 8
* raw formation energy: -0.77 eV per atom


# 4
The following is a GGA-PBEsol calculation of a relaxed ZnCl2F2 crystal, from Alexandria.

Lattice parameters (Å, degrees): 5.438 5.438 6.174 90.00 90.00 90.00
Fractional coordinates of all 10 atoms:
Zn  0.000  0.000  0.000
Zn  0.500  0.500  0.000
F  0.289  0.789  0.000
F  0.789  0.711  0.000
F  0.711  0.211  0.000
F  0.211  0.289  0.000
Cl  0.130  0.630  0.500
Cl  0.630  0.870  0.500
Cl  0.870  0.370  0.500
Cl  0.370  0.130  0.500

* SG: P4/mbm, No. 127
* raw formation energy: -1.15 eV per atom


# 5
The following is a GGA-PBEsol calculation of a relaxed RbSiIrS2 crystal, from Alexandria.

Lattice parameters (Å, degrees): 5.108 5.108 5.253 90.00 90.00 90.00
Last column: magnetic moment on the atom in μB.
Fractional coordinates of all 5 atoms:
S  0.000  0.500  0.000  0.18
S  0.500  0.000  0.000  0.18
Ir  0.500  0.500  0.500  1.62
Si  0.000  0.000  0.500  -0.09
Rb  0.000  0.000  0.000  0.02

* SG: P4/mmm, No. 123
* raw formation energy: 2.61 eV per atom


# 6
The following is a GGA-PBEsol calculation of a relaxed BeFeCl4 crystal, from Alexandria.

Lattice parameters (Å, degrees): 5.613 5.613 5.613 60.00 60.00 60.00
Last column: magnetic moment on the atom in μB.
Fractional coordinates of all 6 atoms:
Be  0.000  0.000  0.000  -0.12
Fe  0.750  0.750  0.750  3.31
Cl  0.375  0.375  0.375  -0.28
Cl  0.375  0.375  0.875  -0.28
Cl  0.875  0.375  0.375  -0.28
Cl  0.375  0.875  0.375  -0.28

* SG: F-43m, No. 216
* raw formation energy: 1.22 eV per atom


# 7
The following is a GGA-PBEsol calculation of a relaxed NiOs crystal, from Alexandria.

Lattice parameters (Å, degrees): 4.175 4.544 5.146 90.00 90.00 90.00
Fractional coordinates of all 8 atoms:
Ni  0.750  0.411  0.879
Ni  0.250  0.089  0.379
Ni  0.750  0.911  0.621
Ni  0.250  0.589  0.121
Os  0.750  0.415  0.376
Os  0.250  0.085  0.876
Os  0.750  0.915  0.124
Os  0.250  0.585  0.624

* SG: Pnma, No. 62
* formation enthalpy at 0 K: 0.06 eV/atom


# 8
The following is a GGA-PBEsol calculation of a relaxed TaTlRh3 crystal, from Alexandria.

Lattice parameters (Å, degrees): 4.736 4.736 4.736 90.00 90.00 90.00
Last column: magnetic moment on the atom in μB.
Fractional coordinates of all 5 atoms:
Tl  0.000  0.000  0.000  0.00
Rh  0.000  0.500  0.000  0.01
Rh  0.000  0.000  0.500  0.01
Rh  0.500  0.000  0.000  0.01
Ta  0.500  0.500  0.500  0.72

* SG: Pm-3m, No. 221
* formation enthalpy at 0 K: 1.93 eV/atom


# 9
The following is a GGA-PBEsol calculation of a relaxed CaInGaMo2 crystal, from Alexandria.

Lattice parameters (Å, degrees): 5.039 5.039 5.357 90.00 90.00 90.00
Last column: magnetic moment on the atom in μB.
Fractional coordinates of all 5 atoms:
Mo  0.000  0.500  0.000  2.11
Mo  0.500  0.000  0.000  2.11
Ca  0.000  0.000  0.500  -0.02
Ga  0.500  0.500  0.500  -0.10
In  0.000  0.000  0.000  -0.02

* SG: P4/mmm, No. 123
* formation enthalpy at 0 K: 1.77 eV/atom


# 10
The following is a GGA-PBEsol calculation of a relaxed Y2ScHg crystal, from Alexandria.

Lattice parameters (Å, degrees): 3.528 3.528 8.330 90.00 90.00 90.00
Fractional coordinates of all 4 atoms:
Y  0.000  0.000  0.765
Y  0.000  0.000  0.235
Sc  0.500  0.500  0.500
Hg  0.500  0.500  0.000

* SG: P4/mmm, No. 123
* formation enthalpy at 0 K: -0.26 eV/atom


# 11
The following is a GGA-PBEsol calculation of a relaxed TaGeP2S crystal, from Alexandria.

Lattice parameters (Å, degrees): 4.521 4.493 4.493 90.00 90.00 90.00
Last column: magnetic moment on the atom in μB.
Fractional coordinates of all 5 atoms:
P  0.000  0.000  0.500  -0.03
P  0.000  0.500  0.000  -0.03
Ge  0.000  0.000  0.000  0.01
S  0.500  0.000  0.000  -0.04
Ta  0.500  0.500  0.500  0.52

* SG: P4/mmm, No. 123
* raw formation energy: 1.01 eV per atom


# 12
The following is a GGA-PBEsol calculation of a relaxed SrBeCu3 crystal, from Alexandria.

Lattice parameters (Å, degrees): 5.097 5.097 5.097 90.00 90.00 90.00
Fractional coordinates of all 5 atoms:
Sr  0.000  0.000  0.000
Cu  0.000  0.500  0.000
Cu  0.000  0.000  0.500
Cu  0.500  0.000  0.000
Be  0.500  0.500  0.500

* SG: Pm-3m, No. 221
* formation enthalpy at 0 K: 1.98 eV/atom


no.,D(E_F) (states/eV per cell),V (Å³ per cell)
1,13.4,136
2,0.8,43
3,0.3,101
4,0.0,183
5,7.7,137
6,9.4,125
7,6.6,98
8,6.2,106
9,5.1,136
10,5.8,104
11,4.1,91
12,3.3,132